## w
This record from Alexandria via LeMat-Bulk describes AcDySc after structural relaxation. The functional is PBE-GGA.

```
3
Lattice="-2.327 -0.458 -2.867 -1.087 -3.269 1.405 -3.499 5.182 4.426" Properties=species:S:1:pos:R:3 pbc="T T T"
Sc -3.513 -0.712 0.551
Ac -0.061 0.039 0.043
Dy -3.339 2.129 2.370
```

Space group = I4mm, No. 107
N(E_F) = 4.81 states/eV/f.u.
Magnetic moment = 0.0 μB per formula unit

## x
This record from Alexandria via LeMat-Bulk describes AcDySc after structural relaxation. The functional is PBE-GGA.

```
3
Lattice="3.658 0.000 0.000 -1.829 3.168 0.000 0.000 0.000 8.574" Properties=species:S:1:pos:R:3 pbc="T T T"
Sc 0.000 0.000 8.496
Ac 1.829 1.056 2.777
Dy 0.000 2.112 5.874
```

Space group = P3m1, No. 156
N(E_F) = 4.45 states/eV/f.u.
Magnetic moment = 0.0 μB per formula unit

Which is the most stable structure? w is the most stable.

## w
This record from Alexandria via LeMat-Bulk describes AcDySe2 after structural relaxation. The functional is PBE-GGA.

```
8
Lattice="4.447 0.000 -0.001 0.000 6.847 0.001 0.002 -0.001 9.535" Properties=species:S:1:pos:R:3 pbc="T T T"
Ac 0.896 6.348 6.687
Ac 3.119 2.925 4.907
Dy 0.894 5.493 2.449
Dy 3.119 2.069 9.146
Se 3.117 3.899 1.847
Se 3.120 4.344 7.577
Se 0.895 0.921 4.017
Se 0.893 0.475 0.212
```

Space group = Pmn2_1, No. 31
N(E_F) = 2.13 states/eV/f.u.
Magnetic moment = 0.0 μB per formula unit

## x
This record from Alexandria via LeMat-Bulk describes AcDySe2 after structural relaxation. The functional is PBE-GGA.

```
4
Lattice="4.168 0.000 0.000 2.084 3.610 0.000 2.084 1.203 7.319" Properties=species:S:1:pos:R:3 pbc="T T T"
Ac 4.168 2.406 3.660
Se 6.252 3.610 5.716
Se 2.084 1.203 1.603
Dy 0.000 0.000 0.000
```

Space group = R-3m, No. 166
N(E_F) = 1.63 states/eV/f.u.
Magnetic moment = 0.0 μB per formula unit

Which is the most stable structure? x is the most stable.

## w
This record from Alexandria via LeMat-Bulk describes AcDySe2 after structural relaxation. The functional is PBE-GGA.

```
4
Lattice="4.145 0.000 0.000 2.072 3.590 0.000 2.072 1.197 7.531" Properties=species:S:1:pos:R:3 pbc="T T T"
Ac 4.145 2.393 3.862
Dy 6.217 3.590 7.426
Se 2.072 1.197 5.888
Se 2.072 1.197 1.652
```

Space group = R3m, No. 160
N(E_F) = 1.50 states/eV/f.u.
Magnetic moment = 0.0 μB per formula unit

## x
This record from Alexandria via LeMat-Bulk describes AcDySe2 after structural relaxation. The functional is PBE-GGA.

```
4
Lattice="-3.458 -1.246 3.739 1.595 -2.521 4.312 0.108 2.498 4.609" Properties=species:S:1:pos:R:3 pbc="T T T"
Ac -0.877 -0.634 6.330
Se -0.439 -0.317 3.165
Se -1.316 -0.952 9.495
Dy 0.000 0.000 0.000
```

Space group = Fm-3m, No. 225
N(E_F) = 2.97 states/eV/f.u.
Magnetic moment = 0.0 μB per formula unit

Which is the most stable structure? w is the most stable.

## w
This record from Alexandria via LeMat-Bulk describes Ac2DySe4 after structural relaxation. The functional is PBE-GGA.

```
14
Lattice="4.133 0.000 0.000 -2.066 7.382 0.000 0.000 0.000 14.466" Properties=species:S:1:pos:R:3 pbc="T T T"
Ac 0.000 1.932 6.127
Ac 2.066 5.451 13.360
Ac 0.000 1.932 1.106
Ac 2.066 5.451 8.339
Dy 2.066 1.910 10.850
Dy 0.000 5.472 3.617
Se 2.066 4.203 1.856
Se 2.066 4.203 5.377
Se 0.000 3.180 12.610
Se 0.000 3.180 9.089
Se 2.066 7.237 10.850
Se 0.000 0.146 3.617
Se 2.066 0.000 0.000
Se 2.066 0.000 7.233
```

Space group = Cmcm, No. 63
N(E_F) = 2.25 states/eV/f.u.
Magnetic moment = 0.0 μB per formula unit

## x
This record from Alexandria via LeMat-Bulk describes Ac2DySe4 after structural relaxation. The functional is PBE-GGA.

```
7
Lattice="4.002 0.000 1.082 1.404 6.533 2.748 -0.042 -0.154 8.094" Properties=species:S:1:pos:R:3 pbc="T T T"
Ac 2.215 3.777 7.689
Ac 3.149 2.603 4.236
Dy 0.000 0.000 0.000
Se 0.557 1.546 5.879
Se 4.807 4.834 6.046
Se 1.694 1.601 1.675
Se 3.670 4.778 10.250
```

Space group = C2/m, No. 12
N(E_F) = 0.89 states/eV/f.u.
Magnetic moment = 0.0 μB per formula unit

Which is the most stable structure? x is the most stable.

## w
This record from Alexandria via LeMat-Bulk describes AcSm2Dy after structural relaxation. The functional is PBE-GGA.

```
4
Lattice="-2.631 -1.008 -2.424 -1.287 -3.487 -0.003 -9.776 1.620 7.089" Properties=species:S:1:pos:R:3 pbc="T T T"
Ac -6.844 -1.439 2.328
Sm -7.759 0.877 5.208
Sm -3.322 -0.756 1.071
Dy -2.616 -2.996 -1.614
```

Space group = R3m, No. 160
N(E_F) = 5.51 states/eV/f.u.
Magnetic moment = 0.0 μB per formula unit

## x
This record from Alexandria via LeMat-Bulk describes AcSm2Dy after structural relaxation. The functional is PBE-GGA.

```
4
Lattice="-2.601 1.563 1.972 -3.169 -1.682 0.475 2.671 -5.717 11.372" Properties=species:S:1:pos:R:3 pbc="T T T"
Ac 0.000 0.000 0.000
Sm 1.396 -4.140 8.441
Sm -4.494 -1.696 5.378
Dy -1.549 -2.918 6.909
```

Space group = R-3m, No. 166
N(E_F) = 6.23 states/eV/f.u.
Magnetic moment = 0.0 μB per formula unit

Which is the most stable structure? w is the most stable.

## w
This record from Alexandria via LeMat-Bulk describes AcSm2Dy after structural relaxation. The functional is PBE-GGA.

```
4
Lattice="-1.466 2.447 -3.089 -3.940 -0.961 1.108 -0.119 6.389 5.119" Properties=species:S:1:pos:R:3 pbc="T T T"
Ac -2.763 3.937 1.569
Sm -0.093 4.991 3.999
Sm -0.026 1.398 1.120
Dy -2.703 0.743 -0.990
```

Space group = P4/mmm, No. 123
N(E_F) = 9.82 states/eV/f.u.
Magnetic moment = 0.0 μB per formula unit

## x
This record from Alexandria via LeMat-Bulk describes AcSm2Dy after structural relaxation. The functional is PBE-GGA.

```
4
Lattice="-2.919 -2.388 -3.663 4.241 -2.421 -1.802 -0.868 -3.955 3.270" Properties=species:S:1:pos:R:3 pbc="T T T"
Ac -1.460 -1.194 -1.831
Sm -0.434 -1.977 1.635
Sm 2.120 -1.210 -0.901
Dy 0.227 -4.382 -1.097
```

Space group = P4/mmm, No. 123
N(E_F) = 6.62 states/eV/f.u.
Magnetic moment = 0.0 μB per formula unit

## y
This record from Alexandria via LeMat-Bulk describes AcSm2Dy after structural relaxation. The functional is PBE-GGA.

```
4
Lattice="5.887 0.000 0.000 2.943 5.098 0.000 2.943 1.699 4.807" Properties=species:S:1:pos:R:3 pbc="T T T"
Ac 5.887 3.399 2.403
Sm 2.943 1.699 1.202
Sm 8.830 5.098 3.605
Dy 0.000 0.000 0.000
```

Space group = Fm-3m, No. 225
N(E_F) = 9.94 states/eV/f.u.
Magnetic moment = 0.0 μB per formula unit

Which is the most stable structure? x is the most stable.

## w
This record from Alexandria via LeMat-Bulk describes AcSm2Dy4 after structural relaxation. The functional is PBE-GGA.

```
14
Lattice="-7.488 0.817 -4.151 0.012 -7.476 -6.254 -0.570 1.291 9.276" Properties=species:S:1:pos:R:3 pbc="T T T"
Ac -1.337 -4.093 -0.156
Ac -0.768 -0.151 6.865
Sm -5.258 -3.196 -5.645
Sm -4.830 0.865 1.439
Sm -3.763 -1.519 -1.075
Sm -2.455 -1.672 2.366
Dy -6.462 -0.659 -3.114
Dy -2.543 -4.058 -3.586
Dy -7.131 -1.771 0.199
Dy -5.944 -4.142 -2.219
Dy -1.389 -6.468 -6.025
Dy -3.656 0.725 4.792
Dy -4.776 -4.286 1.095
Dy -7.602 -5.722 -6.949
```

Space group = P1, No. 1
N(E_F) = 12.03 states/eV/f.u.
Magnetic moment = 0.0 μB per formula unit

## x
This record from Alexandria via LeMat-Bulk describes AcSm2Dy4 after structural relaxation. The functional is PBE-GGA.

```
7
Lattice="6.631 0.729 -1.904 -3.112 5.383 -3.077 0.422 -0.729 6.886" Properties=species:S:1:pos:R:3 pbc="T T T"
Ac 0.000 0.000 0.000
Sm 2.854 1.163 3.443
Sm 1.087 4.219 -1.538
Dy 5.979 1.857 1.955
Dy -2.039 3.526 -0.050
Dy 3.212 1.857 0.000
Dy 0.729 3.526 1.905
```

Space group = I4/mmm, No. 139
N(E_F) = 13.13 states/eV/f.u.
Magnetic moment = 0.0 μB per formula unit

Which is the most stable structure? w is the most stable.

## w
This record from Alexandria via LeMat-Bulk describes AcSmDy4 after structural relaxation. The functional is PBE-GGA.

```
6
Lattice="6.708 0.000 0.000 3.354 5.809 0.000 3.354 1.936 5.477" Properties=species:S:1:pos:R:3 pbc="T T T"
Ac 3.354 1.936 1.369
Sm 0.000 0.000 0.000
Dy 6.708 3.873 0.666
Dy 6.708 1.919 3.429
Dy 8.400 4.850 3.429
Dy 5.016 4.850 3.429
```

Space group = F-43m, No. 216
N(E_F) = 15.08 states/eV/f.u.
Magnetic moment = 1.8 μB per formula unit

## x
This record from Alexandria via LeMat-Bulk describes AcSmDy4 after structural relaxation. The functional is PBE-GGA.

```
12
Lattice="-7.416 4.992 5.157 -0.307 -5.207 8.212 5.939 3.793 -5.372" Properties=species:S:1:pos:R:3 pbc="T T T"
Ac -4.982 0.292 8.340
Ac 3.199 3.286 -0.344
Sm 0.629 0.901 1.230
Sm -2.413 2.677 6.766
Dy -4.589 4.938 3.930
Dy -2.241 2.736 3.387
Dy -1.867 6.481 2.230
Dy 0.452 5.633 -0.296
Dy 2.806 -1.360 4.066
Dy 0.458 0.842 4.609
Dy 0.084 -2.903 5.766
Dy -2.236 -2.055 8.293
```

Space group = P-1, No. 2
N(E_F) = 9.10 states/eV/f.u.
Magnetic moment = 0.0 μB per formula unit

## y
This record from Alexandria via LeMat-Bulk describes AcSmDy4 after structural relaxation. The functional is PBE-GGA.

```
12
Lattice="-3.228 7.825 -3.341 -0.458 -3.441 -5.761 -4.384 -4.070 6.169" Properties=species:S:1:pos:R:3 pbc="T T T"
Ac -3.244 -0.430 -3.142
Ac -4.826 0.744 0.209
Sm -6.532 -1.422 -2.288
Sm -1.539 1.736 -0.645
Dy -4.079 -4.226 -2.472
Dy -4.075 4.611 -6.693
Dy -1.943 -1.931 -0.087
Dy -5.212 -2.879 0.722
Dy -3.992 4.540 -0.461
Dy -6.128 2.244 -2.847
Dy -3.995 -4.297 3.760
Dy -2.859 3.193 -3.655
```

Space group = C2/c, No. 15
N(E_F) = 10.01 states/eV/f.u.
Magnetic moment = 0.0 μB per formula unit

Which is the most stable structure? y is the most stable.